Below is an optimized crystal structure of CdHgGeS3, with properties calculated at the PBE-GGA level.

Its crystal system is orthorhombic. The distance to the lowest polymorph of the same formula is 0.00 eV per formula unit. As for the calculated total energy: -3.1241 eV/atom.

The structure belongs to space group Cmcm (No. 63); the cell edges are 3.747, 13.013 and 11.996 Å and the angles 90.00°, 90.00° and 90.00°. The asymmetric unit holds Cd at (0.000, 0.016, 0.250), Hg at (0.000, 0.500, 0.000), Ge at (0.000, 0.289, 0.250), S at (0.000, 0.117, 0.594) and S at (0.000, 0.348, 0.750).